w | Computed, not measured: a relaxed LuInCuIr crystal at the PBE-GGA level of DFT.

Cell and atoms, written as POSCAR:
```
LuInCuIr
1.0
0.0000 3.3013 3.3013
3.3013 0.0000 3.3013
3.3013 3.3013 0.0000
Lu In Cu Ir
1 1 1 1
Direct
0.0000 0.0000 0.0000
0.5000 0.5000 0.5000
0.7500 0.7500 0.7500
0.2500 0.2500 0.2500
```

## Properties
Mass density   12.59 Mg/m³

***

x | Computed, not measured: a relaxed LuInCuIr crystal at the PBE-GGA level of DFT.

Cell and atoms, written as POSCAR:
```
LuInCuIr
1.0
0.0000 3.3112 3.3112
3.3112 0.0000 3.3112
3.3112 3.3112 0.0000
Lu In Cu Ir
1 1 1 1
Direct
0.0000 0.0000 0.0000
0.2500 0.2500 0.2500
0.5000 0.5000 0.5000
0.7500 0.7500 0.7500
```

## Properties
Mass density   12.48 Mg/m³

***

Name the most stable of them. w.

***

w | Computed, not measured: a relaxed InCuIrW crystal at the PBE-GGA level of DFT.

Cell and atoms, written as POSCAR:
```
InCuIrW
1.0
0.0000 3.1597 3.1597
3.1597 0.0000 3.1597
3.1597 3.1597 0.0000
In Cu Ir W
1 1 1 1
Direct
0.0000 0.0000 0.0000
0.2500 0.2500 0.2500
0.7500 0.7500 0.7500
0.5000 0.5000 0.5000
```

## Properties
Mass density   14.59 Mg/m³

***

x | Computed, not measured: a relaxed InCuIrW crystal at the PBE-GGA level of DFT.

Cell and atoms, written as POSCAR:
```
InCuIrW
1.0
0.0000 3.1676 3.1676
3.1676 0.0000 3.1676
3.1676 3.1676 0.0000
In Cu Ir W
1 1 1 1
Direct
0.0000 0.0000 0.0000
0.2500 0.2500 0.2500
0.5000 0.5000 0.5000
0.7500 0.7500 0.7500
```

## Properties
Mass density   14.48 Mg/m³

***

Name the most stable of them. w.

***

w | Computed, not measured: a relaxed LiLuInCu crystal at the PBE-GGA level of DFT.

Cell and atoms, written as POSCAR:
```
LiLuInCu
1.0
0.0000 3.3473 3.3473
3.3473 0.0000 3.3473
3.3473 3.3473 0.0000
Li Lu In Cu
1 1 1 1
Direct
0.0000 0.0000 0.0000
0.2500 0.2500 0.2500
0.5000 0.5000 0.5000
0.7500 0.7500 0.7500
```

## Properties
Mass density   7.98 Mg/m³

***

x | Computed, not measured: a relaxed LiLuInCu crystal at the PBE-GGA level of DFT.

Cell and atoms, written as POSCAR:
```
LiLuInCu
1.0
0.0000 3.2862 3.2862
3.2862 0.0000 3.2862
3.2862 3.2862 0.0000
Li Lu In Cu
1 1 1 1
Direct
0.0000 0.0000 0.0000
0.7500 0.7500 0.7500
0.2500 0.2500 0.2500
0.5000 0.5000 0.5000
```

## Properties
Mass density   8.43 Mg/m³

***

Name the most stable of them. x.

***

w | Computed, not measured: a relaxed LiInCuMo crystal at the PBE-GGA level of DFT.

Cell and atoms, written as POSCAR:
```
LiInCuMo
1.0
0.0000 3.1301 3.1301
3.1301 0.0000 3.1301
3.1301 3.1301 0.0000
Li In Cu Mo
1 1 1 1
Direct
0.0000 0.0000 0.0000
0.2500 0.2500 0.2500
0.5000 0.5000 0.5000
0.7500 0.7500 0.7500
```

## Properties
Mass density   7.61 Mg/m³

***

x | Computed, not measured: a relaxed LiInCuMo crystal at the PBE-GGA level of DFT.

Cell and atoms, written as POSCAR:
```
LiInCuMo
1.0
0.0000 3.1829 3.1829
3.1829 0.0000 3.1829
3.1829 3.1829 0.0000
Li In Cu Mo
1 1 1 1
Direct
0.0000 0.0000 0.0000
0.5000 0.5000 0.5000
0.7500 0.7500 0.7500
0.2500 0.2500 0.2500
```

## Properties
Mass density   7.24 Mg/m³

***

Name the most stable of them. w.

***

w | Computed, not measured: a relaxed LiNbInCu crystal at the PBE-GGA level of DFT.

Cell and atoms, written as POSCAR:
```
LiNbInCu
1.0
0.0000 3.2121 3.2121
3.2121 0.0000 3.2121
3.2121 3.2121 0.0000
Li Nb In Cu
1 1 1 1
Direct
0.0000 0.0000 0.0000
0.2500 0.2500 0.2500
0.5000 0.5000 0.5000
0.7500 0.7500 0.7500
```

## Properties
Mass density   6.97 Mg/m³

***

x | Computed, not measured: a relaxed LiNbInCu crystal at the PBE-GGA level of DFT.

Cell and atoms, written as POSCAR:
```
LiNbInCu
1.0
0.0000 3.1505 3.1505
3.1505 0.0000 3.1505
3.1505 3.1505 0.0000
Li Nb In Cu
1 1 1 1
Direct
0.0000 0.0000 0.0000
0.7500 0.7500 0.7500
0.2500 0.2500 0.2500
0.5000 0.5000 0.5000
```

## Properties
Mass density   7.39 Mg/m³

***

Name the most stable of them. x.

***

w | Computed, not measured: a relaxed LiTaInCu crystal at the PBE-GGA level of DFT.

Cell and atoms, written as POSCAR:
```
LiTaInCu
1.0
0.0000 3.1423 3.1423
3.1423 0.0000 3.1423
3.1423 3.1423 0.0000
Li Ta In Cu
1 1 1 1
Direct
0.0000 0.0000 0.0000
0.7500 0.7500 0.7500
0.2500 0.2500 0.2500
0.5000 0.5000 0.5000
```

## Properties
Mass density   9.80 Mg/m³

***

x | Computed, not measured: a relaxed LiTaInCu crystal at the PBE-GGA level of DFT.

Cell and atoms, written as POSCAR:
```
LiTaInCu
1.0
0.0000 3.2218 3.2218
3.2218 0.0000 3.2218
3.2218 3.2218 0.0000
Li Ta In Cu
1 1 1 1
Direct
0.0000 0.0000 0.0000
0.2500 0.2500 0.2500
0.5000 0.5000 0.5000
0.7500 0.7500 0.7500
```

## Properties
Mass density   9.09 Mg/m³

***

Name the most stable of them. w.

***

w | Computed, not measured: a relaxed LuMgInCu crystal at the PBE-GGA level of DFT.

Cell and atoms, written as POSCAR:
```
LuMgInCu
1.0
0.0000 3.4401 3.4401
3.4401 0.0000 3.4401
3.4401 3.4401 0.0000
Lu Mg In Cu
1 1 1 1
Direct
0.0000 0.0000 0.0000
0.7500 0.7500 0.7500
0.2500 0.2500 0.2500
0.5000 0.5000 0.5000
```

## Properties
Mass density   7.70 Mg/m³

***

x | Computed, not measured: a relaxed LuMgInCu crystal at the PBE-GGA level of DFT.

Cell and atoms, written as POSCAR:
```
LuMgInCu
1.0
0.0000 3.4087 3.4087
3.4087 0.0000 3.4087
3.4087 3.4087 0.0000
Lu Mg In Cu
1 1 1 1
Direct
0.0000 0.0000 0.0000
0.2500 0.2500 0.2500
0.5000 0.5000 0.5000
0.7500 0.7500 0.7500
```

## Properties
Mass density   7.92 Mg/m³

***

Name the most stable of them. x.

***

w | Computed, not measured: a relaxed LuInCuOs crystal at the PBE-GGA level of DFT.

Cell and atoms, written as POSCAR:
```
LuInCuOs
1.0
0.0000 3.2966 3.2966
3.2966 0.0000 3.2966
3.2966 3.2966 0.0000
Lu In Cu Os
1 1 1 1
Direct
0.0000 0.0000 0.0000
0.5000 0.5000 0.5000
0.7500 0.7500 0.7500
0.2500 0.2500 0.2500
```

## Properties
Mass density   12.60 Mg/m³

***

x | Computed, not measured: a relaxed LuInCuOs crystal at the PBE-GGA level of DFT.

Cell and atoms, written as POSCAR:
```
LuInCuOs
1.0
0.0000 3.3066 3.3066
3.3066 0.0000 3.3066
3.3066 3.3066 0.0000
Lu In Cu Os
1 1 1 1
Direct
0.0000 0.0000 0.0000
0.2500 0.2500 0.2500
0.5000 0.5000 0.5000
0.7500 0.7500 0.7500
```

## Properties
Mass density   12.48 Mg/m³

***

Name the most stable of them. w.

***

w | Computed, not measured: a relaxed LuInCuPd crystal at the PBE-GGA level of DFT.

Cell and atoms, written as POSCAR:
```
LuInCuPd
1.0
0.0000 3.3609 3.3609
3.3609 0.0000 3.3609
3.3609 3.3609 0.0000
Lu In Cu Pd
1 1 1 1
Direct
0.0000 0.0000 0.0000
0.2500 0.2500 0.2500
0.5000 0.5000 0.5000
0.7500 0.7500 0.7500
```

## Properties
Mass density   10.06 Mg/m³

***

x | Computed, not measured: a relaxed LuInCuPd crystal at the PBE-GGA level of DFT.

Cell and atoms, written as POSCAR:
```
LuInCuPd
1.0
0.0000 3.3236 3.3236
3.3236 0.0000 3.3236
3.3236 3.3236 0.0000
Lu In Cu Pd
1 1 1 1
Direct
0.0000 0.0000 0.0000
0.5000 0.5000 0.5000
0.7500 0.7500 0.7500
0.2500 0.2500 0.2500
```

## Properties
Mass density   10.40 Mg/m³

***

Name the most stable of them. x.

***

w | Computed, not measured: a relaxed LuInCuPt crystal at the PBE-GGA level of DFT.

Cell and atoms, written as POSCAR:
```
LuInCuPt
1.0
0.0000 3.3407 3.3407
3.3407 0.0000 3.3407
3.3407 3.3407 0.0000
Lu In Cu Pt
1 1 1 1
Direct
0.0000 0.0000 0.0000
0.2500 0.2500 0.2500
0.5000 0.5000 0.5000
0.7500 0.7500 0.7500
```

## Properties
Mass density   12.21 Mg/m³

***

x | Computed, not measured: a relaxed LuInCuPt crystal at the PBE-GGA level of DFT.

Cell and atoms, written as POSCAR:
```
LuInCuPt
1.0
0.0000 3.3302 3.3302
3.3302 0.0000 3.3302
3.3302 3.3302 0.0000
Lu In Cu Pt
1 1 1 1
Direct
0.0000 0.0000 0.0000
0.5000 0.5000 0.5000
0.7500 0.7500 0.7500
0.2500 0.2500 0.2500
```

## Properties
Mass density   12.33 Mg/m³

***

Name the most stable of them. x.

***

w | Computed, not measured: a relaxed LuInCuRe crystal at the PBE-GGA level of DFT.

Cell and atoms, written as POSCAR:
```
LuInCuRe
1.0
0.0000 3.3204 3.3204
3.3204 0.0000 3.3204
3.3204 3.3204 0.0000
Lu In Cu Re
1 1 1 1
Direct
0.0000 0.0000 0.0000
0.2500 0.2500 0.2500
0.5000 0.5000 0.5000
0.7500 0.7500 0.7500
```

## Properties
Mass density   12.24 Mg/m³

***

x | Computed, not measured: a relaxed LuInCuRe crystal at the PBE-GGA level of DFT.

Cell and atoms, written as POSCAR:
```
LuInCuRe
1.0
0.0000 3.3160 3.3160
3.3160 0.0000 3.3160
3.3160 3.3160 0.0000
Lu In Cu Re
1 1 1 1
Direct
0.0000 0.0000 0.0000
0.5000 0.5000 0.5000
0.7500 0.7500 0.7500
0.2500 0.2500 0.2500
```

## Properties
Mass density   12.29 Mg/m³

***

Name the most stable of them. x.

***

w | Computed, not measured: a relaxed ZnInCuMo crystal at the PBE-GGA level of DFT.

Cell and atoms, written as POSCAR:
```
ZnInCuMo
1.0
0.0000 3.1730 3.1730
3.1730 0.0000 3.1730
3.1730 3.1730 0.0000
Zn In Cu Mo
1 1 1 1
Direct
0.0000 0.0000 0.0000
0.2500 0.2500 0.2500
0.5000 0.5000 0.5000
0.7500 0.7500 0.7500
```

## Properties
Mass density   8.83 Mg/m³

***

x | Computed, not measured: a relaxed ZnInCuMo crystal at the PBE-GGA level of DFT.

Cell and atoms, written as POSCAR:
```
ZnInCuMo
1.0
0.0000 3.1896 3.1896
3.1896 0.0000 3.1896
3.1896 3.1896 0.0000
Zn In Cu Mo
1 1 1 1
Direct
0.0000 0.0000 0.0000
0.5000 0.5000 0.5000
0.7500 0.7500 0.7500
0.2500 0.2500 0.2500
```

## Properties
Mass density   8.69 Mg/m³

***

Name the most stable of them. w.

***

w | Computed, not measured: a relaxed NbInCuPt crystal at the PBE-GGA level of DFT.

Cell and atoms, written as POSCAR:
```
NbInCuPt
1.0
0.0000 3.2266 3.2266
3.2266 0.0000 3.2266
3.2266 3.2266 0.0000
Nb In Cu Pt
1 1 1 1
Direct
0.0000 0.0000 0.0000
0.2500 0.2500 0.2500
0.5000 0.5000 0.5000
0.7500 0.7500 0.7500
```

## Properties
Mass density   11.53 Mg/m³

***

x | Computed, not measured: a relaxed NbInCuPt crystal at the PBE-GGA level of DFT.

Cell and atoms, written as POSCAR:
```
NbInCuPt
1.0
0.0000 3.2228 3.2228
3.2228 0.0000 3.2228
3.2228 3.2228 0.0000
Nb In Cu Pt
1 1 1 1
Direct
0.0000 0.0000 0.0000
0.5000 0.5000 0.5000
0.7500 0.7500 0.7500
0.2500 0.2500 0.2500
```

## Properties
Mass density   11.57 Mg/m³

***

Name the most stable of them. x.

***

w | Computed, not measured: a relaxed NbZnInCu crystal at the PBE-GGA level of DFT.

Cell and atoms, written as POSCAR:
```
NbZnInCu
1.0
0.0000 3.2181 3.2181
3.2181 0.0000 3.2181
3.2181 3.2181 0.0000
Nb Zn In Cu
1 1 1 1
Direct
0.0000 0.0000 0.0000
0.2500 0.2500 0.2500
0.5000 0.5000 0.5000
0.7500 0.7500 0.7500
```

## Properties
Mass density   8.39 Mg/m³

***

x | Computed, not measured: a relaxed NbZnInCu crystal at the PBE-GGA level of DFT.

Cell and atoms, written as POSCAR:
```
NbZnInCu
1.0
0.0000 3.2347 3.2347
3.2347 0.0000 3.2347
3.2347 3.2347 0.0000
Nb Zn In Cu
1 1 1 1
Direct
0.0000 0.0000 0.0000
0.7500 0.7500 0.7500
0.2500 0.2500 0.2500
0.5000 0.5000 0.5000
```

## Properties
Mass density   8.26 Mg/m³

***

Name the most stable of them. w.

***

w | Computed, not measured: a relaxed InCuNiOs crystal at the PBE-GGA level of DFT.

Cell and atoms, written as POSCAR:
```
InCuNiOs
1.0
0.0000 3.0512 3.0512
3.0512 0.0000 3.0512
3.0512 3.0512 0.0000
In Cu Ni Os
1 1 1 1
Direct
0.0000 0.0000 0.0000
0.2500 0.2500 0.2500
0.7500 0.7500 0.7500
0.5000 0.5000 0.5000
```

## Properties
Mass density   12.49 Mg/m³

***

x | Computed, not measured: a relaxed InCuNiOs crystal at the PBE-GGA level of DFT.

Cell and atoms, written as POSCAR:
```
InCuNiOs
1.0
0.0000 3.0853 3.0853
3.0853 0.0000 3.0853
3.0853 3.0853 0.0000
In Cu Ni Os
1 1 1 1
Direct
0.0000 0.0000 0.0000
0.2500 0.2500 0.2500
0.5000 0.5000 0.5000
0.7500 0.7500 0.7500
```

## Properties
Mass density   12.08 Mg/m³

***

Name the most stable of them. w.